Entry 1:
The following is a GGA-PBE calculation of InFeSi2 after structural relaxation, from Alexandria via LeMat-Bulk.

a = 2.9852 Å, b = 5.0248 Å, c = 8.7311 Å
α = 90.00°, β = 90.00°, γ = 90.00°
Space group Imm2 (No. 44)
Inequivalent atoms, fractional coordinates:
In 0.0000 0.0000 0.0000 x2
Fe 0.0000 0.5000 0.2278 x2
Si 0.0000 0.0000 0.5227 x2
Si 0.0000 0.5000 0.7869 x2

Results
Energy relative to the elements, uncorrected: 0.453 eV per atom
DOS(E_F): 2.51 states/eV/f.u.
Spin magnetization: 1.86 μB/f.u.

---

Entry 2:
The following is a GGA-PBE calculation of Zn8CuAg2 after structural relaxation, from Alexandria via LeMat-Bulk.

a = 6.4444 Å, b = 12.2799 Å, c = 4.8772 Å
α = 90.00°, β = 111.95°, γ = 90.00°
Space group C2/m (No. 12)
Inequivalent atoms, fractional coordinates:
Zn 0.0000 0.2144 0.0000 x4
Zn 0.0856 0.5000 0.7785 x4
Zn 0.2076 0.1077 0.7123 x8
Cu 0.0000 0.0000 0.0000 x2
Ag 0.0000 0.3017 0.5000 x4

Results
DFT formation energy: 54 meV/atom
Polymorph energy (0 for the lowest one): 67 meV per atom
DOS(E_F): 2.65 states/eV/f.u.
Spin magnetization: 0.00 μB/f.u.

---

Question: Which value of spin magnetization does entry 1 give?
Answer: 1.86 μB/f.u.

---

Question: What is the DOS(E_F) in the second record?
Answer: 2.65 states/eV/f.u.